# 1
# Cd2GaHg5Pb, optimized geometry, DFT GGA-PBE
data_Cd2GaHg5Pb
_cell_length_a 9.546
_cell_length_b 9.546
_cell_length_c 15.058
_cell_angle_alpha 90.00
_cell_angle_beta 90.00
_cell_angle_gamma 159.99
_symmetry_space_group_name_H-M 'P 1'
_symmetry_Int_Tables_number 1
loop_
_symmetry_equiv_pos_as_xyz
'x,y,z'
loop_
_atom_site_label
_atom_site_type_symbol
_atom_site_fract_x
_atom_site_fract_y
_atom_site_fract_z
_atom_site_occupancy
Cd1 Cd 0.122 0.878 0.500 1
Cd2 Cd 0.167 0.833 0.140 1
Cd3 Cd 0.833 0.167 0.640 1
Cd4 Cd 0.878 0.122 0.000 1
Ga1 Ga 0.232 0.768 0.807 1
Ga2 Ga 0.768 0.232 0.307 1
Hg1 Hg 0.080 0.920 0.796 1
Hg2 Hg 0.296 0.704 0.469 1
Hg3 Hg 0.323 0.677 0.152 1
Hg4 Hg 0.382 0.618 0.826 1
Hg5 Hg 0.479 0.521 0.450 1
Hg6 Hg 0.521 0.479 0.950 1
Hg7 Hg 0.618 0.382 0.326 1
Hg8 Hg 0.677 0.323 0.652 1
Hg9 Hg 0.704 0.296 0.969 1
Hg10 Hg 0.920 0.080 0.296 1
Pb1 Pb 0.481 0.519 0.654 1
Pb2 Pb 0.519 0.481 0.154 1
# * formation energy: 0.053 eV per atom

# 2
# Cd7GaHg2Pb2, optimized geometry, DFT GGA-PBE
data_Cd7GaHg2Pb2
_cell_length_a 4.371
_cell_length_b 4.371
_cell_length_c 15.961
_cell_angle_alpha 96.93
_cell_angle_beta 96.93
_cell_angle_gamma 89.69
_symmetry_space_group_name_H-M 'P 1'
_symmetry_Int_Tables_number 1
loop_
_symmetry_equiv_pos_as_xyz
'x,y,z'
loop_
_atom_site_label
_atom_site_type_symbol
_atom_site_fract_x
_atom_site_fract_y
_atom_site_fract_z
_atom_site_occupancy
Cd1 Cd 0.000 0.000 0.000 1
Cd2 Cd 0.078 0.580 0.143 1
Cd3 Cd 0.232 0.232 0.466 1
Cd4 Cd 0.420 0.922 0.857 1
Cd5 Cd 0.580 0.078 0.143 1
Cd6 Cd 0.768 0.768 0.534 1
Cd7 Cd 0.922 0.420 0.857 1
Ga1 Ga 0.500 0.500 0.000 1
Hg1 Hg 0.151 0.151 0.280 1
Hg2 Hg 0.849 0.849 0.720 1
Pb1 Pb 0.322 0.322 0.662 1
Pb2 Pb 0.678 0.678 0.338 1
# * formation energy: 0.061 eV per atom

# 3
# Cd2Ga2HgPd5, optimized geometry, DFT GGA-PBE
data_Cd2Ga2HgPd5
_cell_length_a 9.591
_cell_length_b 9.591
_cell_length_c 3.777
_cell_angle_alpha 90.00
_cell_angle_beta 90.00
_cell_angle_gamma 90.00
_symmetry_space_group_name_H-M 'P 1'
_symmetry_Int_Tables_number 1
loop_
_symmetry_equiv_pos_as_xyz
'x,y,z'
loop_
_atom_site_label
_atom_site_type_symbol
_atom_site_fract_x
_atom_site_fract_y
_atom_site_fract_z
_atom_site_occupancy
Cd1 Cd 0.172 0.328 0.000 1
Cd2 Cd 0.328 0.828 0.000 1
Cd3 Cd 0.672 0.172 0.000 1
Cd4 Cd 0.828 0.672 0.000 1
Ga1 Ga 0.126 0.626 0.000 1
Ga2 Ga 0.374 0.126 0.000 1
Ga3 Ga 0.626 0.874 0.000 1
Ga4 Ga 0.874 0.374 0.000 1
Hg1 Hg 0.000 0.000 0.000 1
Hg2 Hg 0.500 0.500 0.000 1
Pd1 Pd 0.000 0.500 0.500 1
Pd2 Pd 0.079 0.796 0.500 1
Pd3 Pd 0.204 0.079 0.500 1
Pd4 Pd 0.296 0.579 0.500 1
Pd5 Pd 0.421 0.296 0.500 1
Pd6 Pd 0.500 0.000 0.500 1
Pd7 Pd 0.579 0.704 0.500 1
Pd8 Pd 0.704 0.421 0.500 1
Pd9 Pd 0.796 0.921 0.500 1
Pd10 Pd 0.921 0.204 0.500 1
# * formation energy: -0.381 eV per atom

Repeat the first record exactly.
# Cd2GaHg5Pb, optimized geometry, DFT GGA-PBE
data_Cd2GaHg5Pb
_cell_length_a 9.546
_cell_length_b 9.546
_cell_length_c 15.058
_cell_angle_alpha 90.00
_cell_angle_beta 90.00
_cell_angle_gamma 159.99
_symmetry_space_group_name_H-M 'P 1'
_symmetry_Int_Tables_number 1
loop_
_symmetry_equiv_pos_as_xyz
'x,y,z'
loop_
_atom_site_label
_atom_site_type_symbol
_atom_site_fract_x
_atom_site_fract_y
_atom_site_fract_z
_atom_site_occupancy
Cd1 Cd 0.122 0.878 0.500 1
Cd2 Cd 0.167 0.833 0.140 1
Cd3 Cd 0.833 0.167 0.640 1
Cd4 Cd 0.878 0.122 0.000 1
Ga1 Ga 0.232 0.768 0.807 1
Ga2 Ga 0.768 0.232 0.307 1
Hg1 Hg 0.080 0.920 0.796 1
Hg2 Hg 0.296 0.704 0.469 1
Hg3 Hg 0.323 0.677 0.152 1
Hg4 Hg 0.382 0.618 0.826 1
Hg5 Hg 0.479 0.521 0.450 1
Hg6 Hg 0.521 0.479 0.950 1
Hg7 Hg 0.618 0.382 0.326 1
Hg8 Hg 0.677 0.323 0.652 1
Hg9 Hg 0.704 0.296 0.969 1
Hg10 Hg 0.920 0.080 0.296 1
Pb1 Pb 0.481 0.519 0.654 1
Pb2 Pb 0.519 0.481 0.154 1
# * formation energy: 0.053 eV per atom

> Which formula does entry 1 have?

Cd2GaHg5Pb